# TiBe3B PBE-GGA optimized geometry
# * DFT formation energy: 2.504 eV per atom
data_TiBe3B
_chemical_formula_sum 'Ti1 Be3 B1'
_symmetry_space_group_name_H-M 'P m -3 m'
_symmetry_Int_Tables_number 221
_symmetry_space_group_name_Hall '-P 4 2 3'
_cell_length_a 4.5178
_cell_length_b 4.5178
_cell_length_c 4.5178
_cell_angle_alpha 90.00
_cell_angle_beta 90.00
_cell_angle_gamma 90.00
loop_
_atom_site_label
_atom_site_type_symbol
_atom_site_fract_x
_atom_site_fract_y
_atom_site_fract_z
Ti1 Ti 0.0000 0.0000 0.0000
Be1 Be 0.0000 0.0000 0.5000
B1 B 0.5000 0.5000 0.5000